# YGa2Ru2 (SCAN, single point on PBEsol structure)
# formation energy: -483 meV per atom
# energy: -265.203 eV for the cell shown
# crystal system: tetragonal
data_YGa2Ru2
_chemical_formula_sum 'Y2 Ga4 Ru4'
_space_group_name_H-M_alt 'I 4/m m m'
_space_group_IT_number 139
_space_group_name_Hall '-I 4 2'
_cell_length_a 4.179
_cell_length_b 4.179
_cell_length_c 10.082
_cell_angle_alpha 90.00
_cell_angle_beta 90.00
_cell_angle_gamma 90.00
loop_
_atom_site_label
_atom_site_type_symbol
_atom_site_fract_x
_atom_site_fract_y
_atom_site_fract_z
_atom_site_occupancy
Y1 Y 0.000 0.000 0.000 1
Ga1 Ga 0.000 0.500 0.250 1
Ru1 Ru 0.000 0.000 0.385 1

---

# Tl2CrPb (SCAN, single point on PBEsol structure)
# E above lowest polymorph: 0.24 eV per formula unit
# formation energy: 298 meV per atom
# energy: -475.381 eV for the cell shown
# crystal system: monoclinic
data_Tl2CrPb
_chemical_formula_sum 'Tl4 Cr2 Pb2'
_space_group_name_H-M_alt 'C 1 2/m 1'
_space_group_IT_number 12
_cell_length_a 6.175
_cell_length_b 11.078
_cell_length_c 3.374
_cell_angle_alpha 90.00
_cell_angle_beta 120.01
_cell_angle_gamma 90.00
loop_
_space_group_symop_operation_xyz
'x,y,z'
'-x,-y,-z'
'-x,y,-z'
'x,-y,z'
'x+1/2,y+1/2,z'
'-x+1/2,-y+1/2,-z'
'-x+1/2,y+1/2,-z'
'x+1/2,-y+1/2,z'
loop_
_atom_site_label
_atom_site_type_symbol
_atom_site_fract_x
_atom_site_fract_y
_atom_site_fract_z
_atom_site_occupancy
Tl1 Tl 0.250 0.250 0.000 1
Cr1 Cr 0.000 0.000 0.500 1
Pb1 Pb 0.000 0.500 0.500 1

---

# CsHAu3 (SCAN, single point on PBEsol structure)
# energy: -239.963 eV for the cell shown
# crystal system: cubic
data_CsHAu3
_chemical_formula_sum 'Cs1 H1 Au3'
_space_group_name_H-M_alt 'P m -3 m'
_space_group_IT_number 221
_space_group_name_Hall '-P 4 2 3'
_cell_length_a 5.928
_cell_length_b 5.928
_cell_length_c 5.928
_cell_angle_alpha 90.00
_cell_angle_beta 90.00
_cell_angle_gamma 90.00
loop_
_atom_site_label
_atom_site_type_symbol
_atom_site_fract_x
_atom_site_fract_y
_atom_site_fract_z
_atom_site_occupancy
Cs1 Cs 0.000 0.000 0.000 1
H1 H 0.500 0.500 0.500 1
Au1 Au 0.000 0.000 0.500 1

---

# CoSi2Ru (SCAN, single point on PBEsol structure)
# energy: -74.277 eV for the cell shown
# crystal system: tetragonal
# uncorrected formation energy: -51.02 kJ/mol of atoms
data_CoSi2Ru
_chemical_formula_sum 'Co1 Si2 Ru1'
_space_group_name_H-M_alt 'P 4/m m m'
_space_group_IT_number 123
_space_group_name_Hall '-P 4 2'
_cell_length_a 2.875
_cell_length_b 2.875
_cell_length_c 5.510
_cell_angle_alpha 90.00
_cell_angle_beta 90.00
_cell_angle_gamma 90.00
loop_
_atom_site_label
_atom_site_type_symbol
_atom_site_fract_x
_atom_site_fract_y
_atom_site_fract_z
_atom_site_occupancy
Co1 Co 0.000 0.000 0.000 1
Si1 Si 0.500 0.500 0.233 1
Ru1 Ru 0.000 0.000 0.500 1

---

# CaCdCoS2 (SCAN, single point on PBEsol structure)
# energy: -73.479 eV for the cell shown
# crystal system: tetragonal
# uncorrected formation energy: 60.97 kJ/mol of atoms
data_CaCdCoS2
_chemical_formula_sum 'Ca1 Cd1 Co1 S2'
_space_group_name_H-M_alt 'P 4/m m m'
_space_group_IT_number 123
_space_group_name_Hall '-P 4 2'
_cell_length_a 4.842
_cell_length_b 4.842
_cell_length_c 5.641
_cell_angle_alpha 90.00
_cell_angle_beta 90.00
_cell_angle_gamma 90.00
loop_
_atom_site_label
_atom_site_type_symbol
_atom_site_fract_x
_atom_site_fract_y
_atom_site_fract_z
_atom_site_occupancy
Ca1 Ca 0.000 0.000 0.000 1
Cd1 Cd 0.000 0.000 0.500 1
Co1 Co 0.500 0.500 0.000 1
S1 S 0.000 0.500 0.500 1

---

# YMnRe2 (SCAN, single point on PBEsol structure)
# formation energy: 379 meV per atom
# energy: -186.777 eV for the cell shown
# crystal system: tetragonal
data_YMnRe2
_chemical_formula_sum 'Y1 Mn1 Re2'
_space_group_name_H-M_alt 'P 4/m m m'
_space_group_IT_number 123
_space_group_name_Hall '-P 4 2'
_cell_length_a 3.762
_cell_length_b 3.762
_cell_length_c 4.643
_cell_angle_alpha 90.00
_cell_angle_beta 90.00
_cell_angle_gamma 90.00
loop_
_atom_site_label
_atom_site_type_symbol
_atom_site_fract_x
_atom_site_fract_y
_atom_site_fract_z
_atom_site_occupancy
Y1 Y 0.000 0.000 0.000 1
Mn1 Mn 0.500 0.500 0.000 1
Re1 Re 0.000 0.500 0.500 1

---

# BiAsPd6 (SCAN, single point on PBEsol structure)
# formation energy: -220 meV per atom
# energy: -891.540 eV for the cell shown
# crystal system: trigonal
data_BiAsPd6
_chemical_formula_sum 'Bi3 As3 Pd18'
_space_group_name_H-M_alt 'R -3 m'
_space_group_IT_number 166
_space_group_name_Hall '-R 3 2"'
_cell_length_a 4.4879
_cell_length_b 4.4879
_cell_length_c 21.8675
_cell_angle_alpha 90.00
_cell_angle_beta 90.00
_cell_angle_gamma 120.00
loop_
_atom_site_label
_atom_site_type_symbol
_atom_site_fract_x
_atom_site_fract_y
_atom_site_fract_z
_atom_site_occupancy
Bi1 Bi 0.0000 0.0000 0.0000 1
As1 As 0.0000 0.0000 0.5000 1
Pd1 Pd 0.0000 0.0000 0.1332 1
Pd2 Pd 0.0000 0.0000 0.2559 1
Pd3 Pd 0.0000 0.0000 0.3866 1

---

# Rb2BiPWO8 (SCAN, single point on PBEsol structure)
# energy: -2232.564 eV for the cell shown
# crystal system: orthorhombic
# uncorrected formation energy: -215.80 kJ/mol of atoms
data_Rb2BiPWO8
_chemical_formula_sum 'Rb16 Bi8 P8 W8 O64'
_space_group_name_H-M_alt 'I b c a'
_space_group_IT_number 73
_space_group_name_Hall '-I 2b 2c'
_cell_length_a 7.096
_cell_length_b 12.462
_cell_length_c 20.437
_cell_angle_alpha 90.00
_cell_angle_beta 90.00
_cell_angle_gamma 90.00
loop_
_atom_site_label
_atom_site_type_symbol
_atom_site_fract_x
_atom_site_fract_y
_atom_site_fract_z
_atom_site_occupancy
Rb1 Rb 0.034 0.082 0.157 1
Bi1 Bi 0.250 0.170 0.500 1
P1 P 0.250 0.072 0.000 1
W1 W 0.000 0.250 0.337 1
O1 O 0.059 0.138 0.788 1
O2 O 0.081 0.151 0.010 1
O3 O 0.205 0.218 0.386 1
O4 O 0.225 0.002 0.560 1

---

# KScTa2 (SCAN, single point on PBEsol structure)
# E above lowest polymorph: 2.51 eV per formula unit
# formation energy: 1742 meV per atom
# energy: -595.065 eV for the cell shown
# crystal system: cubic
data_KScTa2
_chemical_formula_sum 'K4 Sc4 Ta8'
_space_group_name_H-M_alt 'F m -3 m'
_space_group_IT_number 225
_space_group_name_Hall '-F 4 2 3'
_cell_length_a 7.010
_cell_length_b 7.010
_cell_length_c 7.010
_cell_angle_alpha 90.00
_cell_angle_beta 90.00
_cell_angle_gamma 90.00
loop_
_atom_site_label
_atom_site_type_symbol
_atom_site_fract_x
_atom_site_fract_y
_atom_site_fract_z
_atom_site_occupancy
K1 K 0.000 0.000 0.000 1
Sc1 Sc 0.000 0.000 0.500 1
Ta1 Ta 0.250 0.250 0.250 1

---

# NaCrPb3 (SCAN, single point on PBEsol structure)
# formation energy: 735 meV per atom
# energy: -246.267 eV for the cell shown
# crystal system: cubic
data_NaCrPb3
_chemical_formula_sum 'Na1 Cr1 Pb3'
_space_group_name_H-M_alt 'P m -3 m'
_space_group_IT_number 221
_space_group_name_Hall '-P 4 2 3'
_cell_length_a 5.360
_cell_length_b 5.360
_cell_length_c 5.360
_cell_angle_alpha 90.00
_cell_angle_beta 90.00
_cell_angle_gamma 90.00
loop_
_atom_site_label
_atom_site_type_symbol
_atom_site_fract_x
_atom_site_fract_y
_atom_site_fract_z
_atom_site_occupancy
Na1 Na 0.000 0.000 0.000 1
Cr1 Cr 0.500 0.500 0.500 1
Pb1 Pb 0.000 0.000 0.500 1

---

# Mo2PAu (SCAN, single point on PBEsol structure)
# formation energy: 612 meV per atom
# energy: -587.518 eV for the cell shown
# crystal system: cubic
data_Mo2PAu
_chemical_formula_sum 'Mo8 P4 Au4'
_space_group_name_H-M_alt 'F -4 3 m'
_space_group_IT_number 216
_space_group_name_Hall 'F -4 2 3'
_cell_length_a 6.250
_cell_length_b 6.250
_cell_length_c 6.250
_cell_angle_alpha 90.00
_cell_angle_beta 90.00
_cell_angle_gamma 90.00
loop_
_atom_site_label
_atom_site_type_symbol
_atom_site_fract_x
_atom_site_fract_y
_atom_site_fract_z
_atom_site_occupancy
Mo1 Mo 0.000 0.000 0.000 1
Mo2 Mo 0.250 0.250 0.250 1
P1 P 0.000 0.000 0.500 1
Au1 Au 0.250 0.250 0.750 1

---

# ZrTl2Pt (SCAN, single point on PBEsol structure)
# E above lowest polymorph: 0.86 eV per formula unit
# formation energy: -3 meV per atom
# energy: -491.244 eV for the cell shown
# crystal system: orthorhombic
data_ZrTl2Pt
_chemical_formula_sum 'Zr2 Tl4 Pt2'
_space_group_name_H-M_alt 'C m m m'
_space_group_IT_number 65
_space_group_name_Hall '-C 2 2'
_cell_length_a 5.898
_cell_length_b 9.179
_cell_length_c 3.057
_cell_angle_alpha 90.00
_cell_angle_beta 90.00
_cell_angle_gamma 90.00
loop_
_atom_site_label
_atom_site_type_symbol
_atom_site_fract_x
_atom_site_fract_y
_atom_site_fract_z
_atom_site_occupancy
Zr1 Zr 0.000 0.000 0.000 1
Tl1 Tl 0.250 0.250 0.500 1
Pt1 Pt 0.000 0.500 0.000 1